--- 1 ---
Pm2TlRh: relaxed, PBE.

Unit cell a=5.2449 b=5.2449 c=5.2449 alpha=60.00 beta=60.00 gamma=60.00
Atoms (fractional coordinates):
Tl 0.5000 0.5000 0.5000
Rh 0.0000 0.0000 0.0000
Pm 0.2500 0.2500 0.2500
Pm 0.7500 0.7500 0.7500

Values from the calculation:
Crystal system ... cubic

--- 2 ---
Pm2TlRh: relaxed, PBE.

Unit cell a=4.0330 b=4.0330 c=8.5765 alpha=76.43 beta=76.43 gamma=59.97
Atoms (fractional coordinates):
Tl 0.5000 0.5000 0.4999
Rh 0.6663 0.6663 0.0009
Pm 0.2685 0.2685 0.1948
Pm 0.0652 0.0652 0.8045

Values from the calculation:
Crystal system ... trigonal

What are the relative energies? In eV/atom: 1 0.059; 2 0.000.

--- 1 ---
Pm12TlRh6: relaxed, PBE.

Unit cell a=8.7855 b=8.7855 c=8.7855 alpha=109.47 beta=109.47 gamma=109.47
Atoms (fractional coordinates):
Pm 0.1866 0.3040 0.4906
Pm 0.4906 0.1866 0.3040
Pm 0.8134 0.3040 0.1174
Pm 0.5094 0.8134 0.6960
Pm 0.8826 0.1866 0.6960
Pm 0.3040 0.1174 0.8134
Pm 0.6960 0.5094 0.8134
Pm 0.1866 0.6960 0.8826
Pm 0.3040 0.4906 0.1866
Pm 0.6960 0.8826 0.1866
Pm 0.8134 0.6960 0.5094
Pm 0.1174 0.8134 0.3040
Rh 0.5000 0.1306 0.6306
Rh 0.6306 0.5000 0.1306
Rh 0.8694 0.3694 0.5000
Rh 0.1306 0.6306 0.5000
Rh 0.5000 0.8694 0.3694
Rh 0.3694 0.5000 0.8694
Tl 0.0000 0.0000 0.0000

Values from the calculation:
Crystal system ... cubic

--- 2 ---
Pm12TlRh6: relaxed, PBE.

Unit cell a=8.8041 b=8.8041 c=8.8041 alpha=108.69 beta=108.69 gamma=108.69
Atoms (fractional coordinates):
Rh 0.7897 0.3634 0.7171
Rh 0.2829 0.2103 0.6366
Rh 0.6366 0.2829 0.2103
Rh 0.2103 0.6366 0.2829
Rh 0.3634 0.7171 0.7897
Rh 0.7171 0.7897 0.3634
Pm 0.0378 0.8586 0.3320
Pm 0.6680 0.9622 0.1414
Pm 0.1525 0.3958 0.4548
Pm 0.9622 0.1414 0.6680
Pm 0.3958 0.4548 0.1525
Pm 0.8586 0.3320 0.0378
Pm 0.4548 0.1525 0.3958
Pm 0.6042 0.5452 0.8475
Pm 0.1414 0.6680 0.9622
Pm 0.8475 0.6042 0.5452
Pm 0.3320 0.0378 0.8586
Pm 0.5452 0.8475 0.6042
Tl 0.0000 0.0000 0.0000

Values from the calculation:
Crystal system ... trigonal

What are the relative energies? In eV/atom: 1 0.000; 2 0.046.